# 1
5
Lattice="4.292 0.000 0.000 0.000 4.292 0.000 0.000 0.000 4.292" Properties=species:S:1:pos:R:3 comment="SrRe3B | Alexandria via LeMat-Bulk | PBEsol | optimized geometry" final_energy_ev_per_atom=-8.94 delta_e_f_kj_per_mol_fu=400 pbc="T T T"
Sr 0.000 0.000 0.000
Re 0.000 2.146 2.146
Re 2.146 0.000 2.146
Re 2.146 2.146 0.000
B 2.146 2.146 2.146

# 2
5
Lattice="4.084 0.000 0.000 0.000 4.084 0.000 0.000 0.000 5.051" Properties=species:S:1:pos:R:3 comment="SrReB2W | Alexandria via LeMat-Bulk | PBEsol | optimized geometry" final_energy_ev_per_atom=-4.97 delta_e_f_kj_per_mol_fu=1752 pbc="T T T"
Sr 0.000 0.000 0.000
Re 0.000 0.000 2.525
B 0.000 2.042 0.000
B 2.042 0.000 0.000
W 2.042 2.042 2.525

# 3
24
Lattice="5.952 0.000 0.000 0.000 11.517 0.000 0.000 0.000 3.583" Properties=species:S:1:pos:R:3 comment="TbReB4 | Alexandria via LeMat-Bulk | PBEsol | optimized geometry" final_energy_ev_per_atom=-8.38 delta_e_f_kj_per_mol_fu=-373 pbc="T T T"
Tb 0.754 1.730 0.000
Tb 2.222 7.489 0.000
Tb 3.730 4.029 0.000
Tb 5.198 9.787 0.000
Re 0.790 4.754 0.000
Re 2.186 10.513 0.000
Re 3.766 1.005 0.000
Re 5.163 6.763 0.000
B 0.137 7.972 1.792
B 0.677 6.303 1.792
B 0.812 11.151 1.792
B 1.268 9.389 1.792
B 1.708 3.630 1.792
B 2.164 5.393 1.792
B 2.299 0.544 1.792
B 2.839 2.213 1.792
B 3.113 9.304 1.792
B 3.653 10.973 1.792
B 3.788 6.125 1.792
B 4.245 7.888 1.792
B 4.684 2.129 1.792
B 5.140 0.366 1.792
B 5.276 5.215 1.792
B 5.816 3.546 1.792

# 4
8
Lattice="-2.267 2.267 6.845 2.267 -2.267 6.845 2.267 2.267 -6.845" Properties=species:S:1:pos:R:3 comment="Re2BTe | Alexandria via LeMat-Bulk | PBEsol | optimized geometry" e_form_raw_mev_per_atom=787 final_energy_ev_per_atom=-8.52 pbc="T T T"
Re 3.401 0.602 -1.711
Re 0.602 1.134 1.711
Re -1.134 1.666 5.134
Re 1.666 1.134 8.556
B 0.000 0.000 0.000
B 0.000 2.267 3.422
Te 2.267 0.000 3.422
Te 0.000 0.000 6.845

# 5
12
Lattice="3.722 -4.770 0.000 3.722 4.770 0.000 0.000 0.000 3.701" Properties=species:S:1:pos:R:3 comment="ThReB4 | Alexandria via LeMat-Bulk | PBEsol | optimized geometry" final_energy_ev_per_atom=-8.85 delta_e_f_kj_per_mol_fu=-350 pbc="T T T"
Th 3.722 2.875 0.000
Th 3.722 -2.875 0.000
Re 2.375 0.000 0.000
Re 5.069 0.000 0.000
B 2.087 1.482 1.850
B 0.958 0.000 1.850
B 3.722 0.853 1.850
B 2.087 -1.482 1.850
B 5.357 1.482 1.850
B 3.722 -0.853 1.850
B 6.486 0.000 1.850
B 5.357 -1.482 1.850

# 6
4
Lattice="0.000 3.310 3.310 3.310 0.000 3.310 3.310 3.310 0.000" Properties=species:S:1:pos:R:3 comment="Tl2ReB | Alexandria via LeMat-Bulk | PBEsol | optimized geometry" final_energy_ev_per_atom=-4.56 delta_e_f_kj_per_mol_fu=711 pbc="T T T"
Tl 1.655 1.655 1.655
Tl 4.965 4.965 4.965
Re 0.000 0.000 0.000
B 3.310 3.310 3.310